No. 1
This record from Alexandria describes an optimized crystal structure of KPtCl2. The functional is PBE-GGA.

Values from the calculation:
The value obtained for the density is 5.14 g/cm³. For the density of states at the Fermi level, the calculation gives 3.1 states/eV per cell. As for the raw formation energy: -0.506 eV/atom. As for the crystal system: tetragonal.

abc: 3.7116 3.7116 7.1494
angles: 90.00 90.00 90.00
Last column: magnetic moment on the atom in μB.
Fractional positions:
Pt 0.5000 0.5000 0.8982  -0.21
Cl 0.5000 0.5000 0.2627  -0.04
Cl 0.0000 0.0000 0.8831  -0.01
K 0.0000 0.0000 0.4559  0.00



No. 2
This record from Alexandria describes an optimized crystal structure of AcGd3Cl. The functional is PBE-GGA.

Values from the calculation:
The value obtained for the density is 7.51 g/cm³. For the density of states at the Fermi level, the calculation gives 6.0 states/eV per cell. As for the raw formation energy: -0.474 eV/atom. As for the crystal system: cubic.

abc: 5.4541 5.4541 5.4541
angles: 90.00 90.00 90.00
Last column: magnetic moment on the atom in μB.
Fractional positions:
Cl 0.0000 0.0000 0.0000  -0.02
Gd 0.0000 0.5000 0.0000  7.01
Gd 0.0000 0.0000 0.5000  7.01
Gd 0.5000 0.0000 0.0000  7.01
Ac 0.5000 0.5000 0.5000  -0.02



No. 3
This record from Alexandria describes an optimized crystal structure of ZrGe2W2. The functional is PBE-GGA.

Values from the calculation:
The value obtained for the density is 11.87 g/cm³. For the density of states at the Fermi level, the calculation gives 4.9 states/eV per cell. The calculation puts the energy of formation from the pure elements at -0.228 kcal/mol of atoms. As for the crystal system: tetragonal.

abc: 7.3211 7.3211 3.1526
angles: 90.00 90.00 90.00
Fractional positions:
Zr 0.5000 0.5000 0.0000
Zr 0.0000 0.0000 0.0000
W 0.6416 0.8584 0.5000
W 0.3584 0.1416 0.5000
W 0.1416 0.6416 0.5000
W 0.8584 0.3584 0.5000
Ge 0.1486 0.3514 0.0000
Ge 0.6486 0.1486 0.0000
Ge 0.8514 0.6486 0.0000
Ge 0.3514 0.8514 0.0000



No. 4
This record from Alexandria describes an optimized crystal structure of PmPaPdO6. The functional is PBE-GGA.

Values from the calculation:
The value obtained for the density is 7.56 g/cm³. As for the raw formation energy: -2.362 eV/atom. As for the crystal system: trigonal.

abc: 4.9239 5.4584 5.4584
angles: 120.00 90.00 90.00
Fractional positions:
Pa 0.0000 0.3333 0.6667
O 0.2571 0.0268 0.7054
O 0.7429 0.6786 0.7054
O 0.2571 0.2946 0.3214
O 0.2571 0.6786 0.9732
O 0.7429 0.0268 0.3214
O 0.7429 0.2946 0.9732
Pm 0.5000 0.6667 0.3333
Pd 0.5000 0.0000 0.0000



No. 5
This record from Alexandria describes an optimized crystal structure of Ce2SmDy3As6. The functional is PBE-GGA.

Values from the calculation:
The value obtained for the density is 7.40 g/cm³. For the density of states at the Fermi level, the calculation gives 11.5 states/eV per cell. The calculation puts the energy of formation from the pure elements at -34.628 kcal/mol of atoms. As for the crystal system: monoclinic.

abc: 7.2195 7.2195 7.2071
angles: 99.60 99.60 120.00
Last column: magnetic moment on the atom in μB.
Fractional positions:
Dy 0.5000 0.5000 0.5000  0.01
Dy 0.1662 0.8338 0.5000  0.00
Dy 0.8338 0.1662 0.5000  0.00
Ce 0.3332 0.6668 0.0000  0.54
Ce 0.6668 0.3332 0.0000  0.54
As 0.0848 0.4199 0.2542  -0.01
As 0.4199 0.0848 0.2542  -0.01
As 0.5801 0.9152 0.7458  -0.01
As 0.2502 0.2502 0.7451  -0.01
As 0.9152 0.5801 0.7458  -0.01
As 0.7498 0.7498 0.2549  -0.01
Sm 0.0000 0.0000 0.0000  0.01



No. 6
This record from Alexandria describes an optimized crystal structure of PrSc3As4O12. The functional is PBE-GGA.

Values from the calculation:
The value obtained for the density is 4.63 g/cm³. For the density of states at the Fermi level, the calculation gives 0.1 states/eV per cell. As for the raw formation energy: -2.053 eV/atom. As for the crystal system: trigonal.

abc: 6.8594 6.8594 6.8594
angles: 106.07 106.07 106.07
Fractional positions:
O 0.2545 0.3391 0.0096
O 0.9379 0.5000 0.0621
O 0.7455 0.9904 0.6609
O 0.6757 0.5000 0.3243
O 0.0621 0.9379 0.5000
O 0.5000 0.3243 0.6757
O 0.3391 0.0096 0.2545
O 0.9904 0.6609 0.7455
O 0.0096 0.2545 0.3391
O 0.5000 0.0621 0.9379
O 0.3243 0.6757 0.5000
O 0.6609 0.7455 0.9904
As 0.8984 0.1016 0.5000
As 0.5000 0.5000 0.5000
As 0.5000 0.8984 0.1016
As 0.1016 0.5000 0.8984
Sc 0.0000 0.5762 0.4238
Sc 0.5762 0.4238 0.0000
Sc 0.4238 0.0000 0.5762
Pr 0.0000 0.0000 0.0000



No. 7
This record from Alexandria describes an optimized crystal structure of NbGeSeN2. The functional is PBE-GGA.

Values from the calculation:
The value obtained for the density is 5.10 g/cm³. For the density of states at the Fermi level, the calculation gives 2.0 states/eV per cell. As for the raw formation energy: 0.289 eV/atom. As for the crystal system: tetragonal.

abc: 4.0391 4.0391 5.4349
angles: 90.00 90.00 90.00
Last column: magnetic moment on the atom in μB.
Fractional positions:
Se 0.0000 0.0000 0.5000  0.00
N 0.0000 0.5000 0.0000  0.17
N 0.5000 0.0000 0.0000  0.17
Nb 0.0000 0.0000 0.0000  -0.05
Ge 0.5000 0.5000 0.5000  -0.01



No. 8
This record from Alexandria describes an optimized crystal structure of La2CeSm6. The functional is PBE-GGA.

Values from the calculation:
The value obtained for the density is 7.13 g/cm³. For the density of states at the Fermi level, the calculation gives 15.9 states/eV per cell. The calculation puts the energy of formation from the pure elements at 1.789 kcal/mol of atoms. As for the crystal system: trigonal.

abc: 9.1404 9.1404 6.7759
angles: 47.65 47.65 66.51
Last column: magnetic moment on the atom in μB.
Fractional positions:
Sm 0.4998 0.1664 0.1679  0.01
Sm 0.5002 0.8336 0.8321  0.01
Sm 0.8341 0.1659 0.5000  0.01
Sm 0.1659 0.8341 0.5000  0.01
Sm 0.1664 0.4998 0.1679  0.01
Sm 0.8336 0.5002 0.8321  0.01
La 0.6729 0.6729 0.3267  0.00
La 0.3271 0.3271 0.6733  0.00
Ce 0.0000 0.0000 0.0000  0.73



No. 9
This record from Alexandria describes an optimized crystal structure of GdLuCoPt. The functional is PBE-GGA.

Values from the calculation:
The value obtained for the density is 12.28 g/cm³. For the density of states at the Fermi level, the calculation gives 2.6 states/eV per cell. The calculation puts the energy of formation from the pure elements at -15.672 kcal/mol of atoms. As for the crystal system: cubic.

abc: 4.8220 4.8220 4.8220
angles: 60.00 60.00 60.00
Last column: magnetic moment on the atom in μB.
Fractional positions:
Pt 0.7500 0.7500 0.7500  0.03
Lu 0.5000 0.5000 0.5000  -0.10
Co 0.2500 0.2500 0.2500  0.72
Gd 0.0000 0.0000 0.0000  -7.06



No. 10
This record from Alexandria describes an optimized crystal structure of Ti2NiGeMo. The functional is PBE-GGA.

Values from the calculation:
The value obtained for the density is 5.41 g/cm³. For the density of states at the Fermi level, the calculation gives 8.4 states/eV per cell. The calculation puts the energy of formation from the pure elements at 20.830 kcal/mol of atoms. As for the crystal system: tetragonal.

abc: 4.6641 4.5565 4.6641
angles: 90.00 90.00 90.00
Fractional positions:
Ge 0.5000 0.5000 0.5000
Ti 0.0000 0.0000 0.5000
Ti 0.5000 0.0000 0.0000
Ni 0.0000 0.5000 0.0000
Mo 0.0000 0.0000 0.0000